# LaCeMg GGA-PBE optimized geometry
# Formation enthalpy at 0 K ... 0.670 eV/f.u.
# Excess energy over the best structure of this formula in the dataset ... 16.08 kJ per mole of atoms
# Calculated total energy ... -47.146 eV/cell
data_LaCeMg
_chemical_formula_sum 'La4 Ce4 Mg4'
_symmetry_space_group_name_H-M 'C 1 2/m 1'
_symmetry_Int_Tables_number 12
_symmetry_space_group_name_Hall '-C 2y'
_cell_length_a 12.4670
_cell_length_b 3.2354
_cell_length_c 9.2693
_cell_angle_alpha 90.00
_cell_angle_beta 101.79
_cell_angle_gamma 90.00
loop_
_atom_site_label
_atom_site_fract_x
_atom_site_fract_y
_atom_site_fract_z
_atom_site_occupancy
La1 0.1686 0.0000 0.1463 1
Ce1 0.1601 0.0000 0.4558 1
Mg1 0.0838 0.0000 0.7726 1